VASP calculation (PBE-GGA) on a relaxed SnSO crystal.

Cell: 6.7607 6.7607 8.4017 Å, 90.00 90.00 92.63°
Closest atoms and distances in Å follow each position.
Fractional coordinates of all 12 atoms:
1 Sn 0.1143 0.8857 0.7942  2 O 2.20
2 Sn 0.3857 0.6143 0.2942  2 O 2.20
3 Sn 0.6143 0.3857 0.7058  2 O 2.20
4 Sn 0.8857 0.1143 0.2058  2 O 2.20
5 S 0.0789 0.9211 0.4121  1 S 2.14
6 S 0.4211 0.5789 0.9121  1 S 2.14
7 S 0.5789 0.4211 0.0879  1 S 2.14
8 S 0.9211 0.0789 0.5879  1 S 2.14
9 O 0.0839 0.0839 0.0000  1 O 1.57
10 O 0.4161 0.4161 0.5000  1 O 1.57
11 O 0.5839 0.5839 0.5000  1 O 1.57
12 O 0.9161 0.9161 0.0000  1 O 1.57

SG: Cmce, No. 64
Spin magnetization, μB/f.u.: 0.00
ΔE_f (raw), eV per atom: -0.15
Density, Mg/m³: 2.89